Entry 1:
A relaxed structure of Er4S5O. Source: Alexandria via LeMat-Bulk, functional PBE.

Computed properties:
For the formation energy from raw total energies, the calculation gives -2.17 eV per atom. Its total energy is -6.557 eV per atom. As for the total magnetic moment: 0.000 μB/cell.

Cell: 3.679 7.106 9.294 Å, 112.49 101.42 90.00°
Sites, in units of the cell vectors:
1 Er 0.719 0.218 0.437
2 Er 0.281 0.782 0.563
3 Er 0.000 0.774 0.000
4 Er 0.000 0.226 0.000
5 S 0.839 0.081 0.678
6 S 0.500 0.500 0.000
7 S 0.839 0.597 0.678
8 S 0.161 0.403 0.322
9 S 0.161 0.919 0.322
10 O 0.500 0.000 0.000

Entry 2:
A relaxed structure of Er4SO5. Source: Alexandria via LeMat-Bulk, functional PBE.

Computed properties:
For the formation energy from raw total energies, the calculation gives -3.13 eV per atom. Its total energy is -7.851 eV per atom. As for the total magnetic moment: 0.000 μB/cell.

Cell: 5.520 7.050 8.765 Å, 90.00 90.00 90.00°
Sites, in units of the cell vectors:
1 O 0.232 0.745 0.181
2 O 0.732 0.500 0.000
3 O 0.768 0.245 0.681
4 O 0.768 0.755 0.681
5 O 0.768 0.755 0.319
6 O 0.232 0.255 0.819
7 O 0.232 0.745 0.819
8 O 0.268 0.000 0.500
9 O 0.768 0.245 0.319
10 O 0.232 0.255 0.181
11 Er 0.516 0.759 0.500
12 Er 0.484 0.741 0.000
13 Er 0.484 0.259 0.000
14 Er 0.516 0.241 0.500
15 Er 0.972 0.500 0.227
16 Er 0.972 0.500 0.773
17 Er 0.028 0.000 0.727
18 Er 0.028 0.000 0.273
19 S 0.808 0.000 0.000
20 S 0.192 0.500 0.500

Entry 3:
A relaxed structure of ErSbSO2. Source: Alexandria via LeMat-Bulk, functional PBE.

Computed properties:
For the formation energy from raw total energies, the calculation gives -2.03 eV per atom. Its total energy is -6.576 eV per atom. As for the total magnetic moment: 0.000 μB/cell.

Cell: 3.875 6.314 7.522 Å, 106.51 90.00 90.00°
Sites, in units of the cell vectors:
1 S 0.250 0.059 0.719
2 S 0.750 0.941 0.281
3 O 0.750 0.521 0.890
4 O 0.750 0.484 0.363
5 O 0.250 0.516 0.637
6 O 0.250 0.479 0.110
7 Er 0.250 0.700 0.417
8 Er 0.750 0.300 0.583
9 Sb 0.250 0.692 0.922
10 Sb 0.750 0.308 0.078

Entry 4:
A relaxed structure of ErSb2SO4. Source: Alexandria via LeMat-Bulk, functional PBE.

Computed properties:
For the formation energy from raw total energies, the calculation gives -1.79 eV per atom. Its total energy is -6.384 eV per atom. As for the total magnetic moment: 0.000 μB/cell.

Cell: 3.721 3.721 8.624 Å, 90.00 90.00 90.00°
Sites, in units of the cell vectors:
1 O 0.500 0.000 0.838
2 O 0.500 0.000 0.162
3 O 0.000 0.500 0.838
4 O 0.000 0.500 0.162
5 Sb 0.500 0.500 0.710
6 Sb 0.500 0.500 0.290
7 S 0.000 0.000 0.500
8 Er 0.000 0.000 0.000

Entry 5:
A relaxed structure of ErScS2O. Source: Alexandria via LeMat-Bulk, functional PBE.

Computed properties:
For the formation energy from raw total energies, the calculation gives -2.47 eV per atom. Its total energy is -7.293 eV per atom. As for the total magnetic moment: 0.000 μB/cell.

Cell: 3.749 3.749 13.266 Å, 90.00 90.00 90.00°
Sites, in units of the cell vectors:
1 S 0.000 0.500 0.090
2 S 0.500 0.000 0.910
3 S 0.000 0.500 0.704
4 S 0.500 0.000 0.296
5 Er 0.000 0.500 0.413
6 Er 0.500 0.000 0.587
7 O 0.500 0.500 0.500
8 O 0.000 0.000 0.500
9 Sc 0.000 0.500 0.882
10 Sc 0.500 0.000 0.118

Entry 6:
A relaxed structure of Er2ScS2O2. Source: Alexandria via LeMat-Bulk, functional PBE.

Computed properties:
For the formation energy from raw total energies, the calculation gives -2.49 eV per atom. Its total energy is -7.296 eV per atom. As for the total magnetic moment: 0.000 μB/cell.

Cell: 4.004 4.004 7.677 Å, 105.12 105.12 90.00°
Sites, in units of the cell vectors:
1 Sc 0.000 0.000 0.000
2 S 0.821 0.821 0.642
3 S 0.179 0.179 0.358
4 O 0.500 0.000 0.000
5 O 0.000 0.500 0.000
6 Er 0.629 0.629 0.259
7 Er 0.371 0.371 0.741

Question: Look up the total magnetic moment of the first one.
Answer: 0.000 μB/cell